Computed, not measured: crystalline La2Ru at its relaxed geometry at the PBEsol level of DFT.

Cell and atoms, written as CIF:
```
data_La2Ru
_chemical_formula_sum 'La6 Ru3'
_cell_length_a 7.3831
_cell_length_b 7.3831
_cell_length_c 4.9401
_cell_angle_alpha 90.00
_cell_angle_beta 90.00
_cell_angle_gamma 120.00
_symmetry_space_group_name_H-M 'P -6 2 m'
_symmetry_Int_Tables_number 189
_symmetry_space_group_name_Hall 'P -6 -2'
loop_
_atom_site_label
_atom_site_type_symbol
_atom_site_fract_x
_atom_site_fract_y
_atom_site_fract_z
La1 La 0.0000 0.2807 0.0000
La2 La 0.0000 0.6081 0.5000
Ru1 Ru 0.0000 0.0000 0.5000
Ru2 Ru 0.3333 0.6667 0.0000
```

## Properties
E_form: -0.16 eV/atom
Energy: -7.112 eV/atom
DOS at the Fermi energy: 6.2 states/eV/cell
Total moment: 0.00 μB per atom

---

Computed, not measured: crystalline FeCoW at its relaxed geometry at the PBEsol level of DFT.

Cell and atoms, written as CIF:
```
data_FeCoW
_chemical_formula_sum 'Fe4 Co4 W4'
_cell_length_a 5.485
_cell_length_b 5.485
_cell_length_c 5.485
_cell_angle_alpha 90.00
_cell_angle_beta 90.00
_cell_angle_gamma 90.00
_symmetry_space_group_name_H-M 'F -4 3 m'
_symmetry_Int_Tables_number 216
_symmetry_space_group_name_Hall 'F -4 2 3'
loop_
_atom_site_label
_atom_site_type_symbol
_atom_site_fract_x
_atom_site_fract_y
_atom_site_fract_z
Fe1 Fe 0.000 0.000 0.000
Co1 Co 0.250 0.250 0.750
W1 W 0.250 0.250 0.250
```

## Properties
E_form: 0.68 eV/atom
Energy: -9.488 eV/atom
DOS at the Fermi energy: 14.4 states/eV/cell
Relative energy among the computed polymorphs: 529 meV per atom
Total moment: 0.57 μB per atom

---

Computed, not measured: crystalline Ga3Ir at its relaxed geometry at the PBEsol level of DFT.

Cell and atoms, written as CIF:
```
data_Ga3Ir
_chemical_formula_sum 'Ga12 Ir4'
_cell_length_a 6.496
_cell_length_b 6.496
_cell_length_c 6.581
_cell_angle_alpha 90.00
_cell_angle_beta 90.00
_cell_angle_gamma 90.00
_symmetry_space_group_name_H-M 'P 42/m n m'
_symmetry_Int_Tables_number 136
_symmetry_space_group_name_Hall '-P 4n 2n'
loop_
_atom_site_label
_atom_site_type_symbol
_atom_site_fract_x
_atom_site_fract_y
_atom_site_fract_z
Ga1 Ga 0.000 0.500 0.000
Ga2 Ga 0.140 0.140 0.244
Ir1 Ir 0.159 0.841 0.500
```

## Properties
E_form: -0.36 eV/atom
Energy: -5.323 eV/atom
DOS at the Fermi energy: 2.6 states/eV/cell
Total moment: 0.00 μB per atom